Version w
! B2PbCl | the Alexandria database | PBEsol | relaxed; values from VASP
! Crystal system: tetragonal
! ρ, kg/m3: 5920
! Space group: I-42d (122)
! Size of the total moment, μB per formula unit: 0.028
&SYSTEM
  ibrav = 0, nat = 8, ntyp = 3
/
ATOMIC_SPECIES
B 10.81 B.upf
Cl 35.45 Cl.upf
Pb 207.20 Pb.upf
CELL_PARAMETERS angstrom
5.130 0.000 0.000
0.000 5.130 0.000
-2.565 -2.565 5.632
ATOMIC_POSITIONS angstrom
B -1.283 -1.220 4.224
B 1.345 3.848 1.408
Cl 2.565 0.000 2.816
Pb 0.000 0.000 0.000
Cl 2.565 2.565 0.000
B 1.283 1.220 4.224
Pb 0.000 2.565 2.816
B 3.785 1.283 1.408

Version x
! B2PbCl | the Alexandria database | PBEsol | relaxed; values from VASP
! Crystal system: cubic
! ρ, kg/m3: 6802
! Space group: Fm-3m (225)
! Size of the total moment, μB per formula unit: 0.000
&SYSTEM
  ibrav = 0, nat = 4, ntyp = 3
/
ATOMIC_SPECIES
Cl 35.45 Cl.upf
B 10.81 B.upf
Pb 207.20 Pb.upf
CELL_PARAMETERS angstrom
-1.211 -2.586 3.481
2.677 -3.359 1.348
2.207 0.312 3.911
ATOMIC_POSITIONS angstrom
Cl 0.000 0.000 0.000
B 2.755 -4.224 6.555
B 0.918 -1.408 2.185
Pb 1.837 -2.816 4.370

The most stable of them is version w.

Version w
! TlBS2Cl | the Alexandria database | PBEsol | relaxed; values from VASP
! Crystal system: tetragonal
! ρ, kg/m3: 3966
! Space group: P4/mmm (123)
! Size of the total moment, μB per formula unit: 0.002
&SYSTEM
  ibrav = 0, nat = 5, ntyp = 4
/
ATOMIC_SPECIES
S 32.06 S.upf
Cl 35.45 Cl.upf
B 10.81 B.upf
Tl 204.38 Tl.upf
CELL_PARAMETERS angstrom
-4.704 -0.750 1.549
1.581 -0.103 4.752
-0.713 5.191 0.350
ATOMIC_POSITIONS angstrom
S 0.790 -0.052 2.376
Cl -0.356 2.596 0.175
B -1.918 2.169 3.325
S -2.352 -0.375 0.774
Tl 0.000 0.000 0.000

Version x
! TlBS2Cl | the Alexandria database | PBEsol | relaxed; values from VASP
! Crystal system: tetragonal
! ρ, kg/m3: 6129
! Space group: P4/mmm (123)
! Size of the total moment, μB per formula unit: 0.000
&SYSTEM
  ibrav = 0, nat = 5, ntyp = 4
/
ATOMIC_SPECIES
B 10.81 B.upf
Cl 35.45 Cl.upf
Tl 204.38 Tl.upf
S 32.06 S.upf
CELL_PARAMETERS angstrom
-2.998 2.229 -1.938
-1.751 -3.565 -1.391
-2.722 -0.212 3.967
ATOMIC_POSITIONS angstrom
B 0.000 0.000 0.000
Cl -1.361 -0.106 1.983
Tl -3.735 -0.774 0.319
S -1.499 1.114 -0.969
S -0.875 -1.782 -0.696

The most stable of them is version x.

Version w
! SnBCl2 | the Alexandria database | PBEsol | relaxed; values from VASP
! Crystal system: cubic
! ρ, kg/m3: 4222
! Space group: Fm-3m (225)
! Size of the total moment, μB per formula unit: 0.000
&SYSTEM
  ibrav = 0, nat = 4, ntyp = 3
/
ATOMIC_SPECIES
Cl 35.45 Cl.upf
Sn 118.71 Sn.upf
B 10.81 B.upf
CELL_PARAMETERS angstrom
4.813 0.000 0.000
2.406 4.168 0.000
2.406 1.389 3.930
ATOMIC_POSITIONS angstrom
Cl 2.406 1.389 0.982
Sn 4.813 2.779 1.965
B 0.000 0.000 0.000
Cl 7.219 4.168 2.947

Version x
! SnBCl2 | the Alexandria database | PBEsol | relaxed; values from VASP
! Crystal system: cubic
! ρ, kg/m3: 3596
! Space group: Fd-3m (227)
! Size of the total moment, μB per formula unit: 0.000
&SYSTEM
  ibrav = 0, nat = 8, ntyp = 3
/
ATOMIC_SPECIES
B 10.81 B.upf
Cl 35.45 Cl.upf
Sn 118.71 Sn.upf
CELL_PARAMETERS angstrom
-1.491 1.979 5.898
2.459 -2.989 5.093
4.406 2.920 3.603
ATOMIC_POSITIONS angstrom
B 4.031 1.432 10.946
Cl 3.359 1.194 9.121
Cl 4.104 0.204 6.172
Cl 2.129 2.688 6.575
B 2.687 0.955 7.297
Cl 1.156 -0.266 7.320
Sn 0.000 0.000 0.000
Sn 1.344 0.477 3.649

The most stable of them is version x.

Version w
! MgCo3B | the Alexandria database | PBEsol | relaxed; values from VASP
! Crystal system: cubic
! ρ, kg/m3: 4837
! Space group: Pm-3m (221)
! Size of the total moment, μB per formula unit: 4.197
&SYSTEM
  ibrav = 0, nat = 5, ntyp = 3
/
ATOMIC_SPECIES
B 10.81 B.upf
Co 58.93 Co.upf
Mg 24.30 Mg.upf
CELL_PARAMETERS angstrom
-2.490 -3.308 -0.529
0.638 0.179 -4.122
3.289 -2.539 0.399
ATOMIC_POSITIONS angstrom
B 0.718 -2.834 -2.126
Co 1.645 -1.270 0.199
Co 0.319 0.089 -2.061
Co -1.245 -1.654 -0.265
Mg 0.000 0.000 0.000

Version x
! MgCo3B | the Alexandria database | PBEsol | relaxed; values from VASP
! Crystal system: cubic
! ρ, kg/m3: 6436
! Space group: Pm-3m (221)
! Size of the total moment, μB per formula unit: 2.040
&SYSTEM
  ibrav = 0, nat = 5, ntyp = 3
/
ATOMIC_SPECIES
B 10.81 B.upf
Co 58.93 Co.upf
Mg 24.30 Mg.upf
CELL_PARAMETERS angstrom
-1.606 3.421 -0.348
-2.233 -1.329 -2.766
-2.616 -0.966 2.575
ATOMIC_POSITIONS angstrom
B 0.000 0.000 0.000
Co -1.308 -0.483 1.288
Mg -3.227 0.563 -0.270
Co -1.116 -0.665 -1.383
Co -0.803 1.711 -0.174

The most stable of them is version x.

Version w
! ZrCo3B2 | the Alexandria database | PBEsol | relaxed; values from VASP
! Crystal system: hexagonal
! ρ, kg/m3: 8007
! Space group: P6/mmm (191)
! Size of the total moment, μB per formula unit: 0.000
&SYSTEM
  ibrav = 0, nat = 6, ntyp = 3
/
ATOMIC_SPECIES
Co 58.93 Co.upf
B 10.81 B.upf
Zr 91.22 Zr.upf
CELL_PARAMETERS angstrom
-0.596 -2.912 -0.503
0.700 -0.946 4.650
-4.377 1.168 -1.578
ATOMIC_POSITIONS angstrom
Co 0.052 -1.929 2.074
Co -2.486 -0.872 -1.040
B -0.993 -0.241 2.574
Zr 0.000 0.000 0.000
B -2.685 0.463 0.498
Co -2.136 -1.345 1.285

Version x
! ZrCo3B2 | the Alexandria database | PBEsol | relaxed; values from VASP
! Crystal system: trigonal
! ρ, kg/m3: 8091
! Space group: R-3m (166)
! Size of the total moment, μB per formula unit: 0.000
&SYSTEM
  ibrav = 0, nat = 18, ntyp = 3
/
ATOMIC_SPECIES
Co 58.93 Co.upf
B 10.81 B.upf
Zr 91.22 Zr.upf
CELL_PARAMETERS angstrom
5.649 0.005 0.006
-0.469 5.630 0.006
-0.469 -0.510 5.606
ATOMIC_POSITIONS angstrom
Co -0.234 -0.255 2.803
B -0.469 3.325 2.108
Co 3.504 0.751 3.896
B 1.828 -0.317 3.504
B 1.828 3.518 0.006
B 3.352 2.116 0.006
Zr 3.155 3.431 3.761
Co 2.825 0.003 0.003
Co 3.504 3.811 1.105
Co 4.257 1.570 1.721
Co 1.207 1.313 4.513
B 3.352 -0.188 2.108
Zr 1.557 1.693 1.856
Zr 0.000 0.000 0.000
Co 0.455 3.555 3.896
Co 1.207 4.374 1.721
Co -0.234 2.815 0.003
B -0.469 1.795 3.504

The most stable of them is version x.

Version w
! CrB4 | the Alexandria database | PBEsol | relaxed; values from VASP
! Crystal system: orthorhombic
! ρ, kg/m3: 4351
! Space group: Immm (71)
! Size of the total moment, μB per formula unit: 0.000
&SYSTEM
  ibrav = 0, nat = 5, ntyp = 2
/
ATOMIC_SPECIES
B 10.81 B.upf
Cr 52.00 Cr.upf
CELL_PARAMETERS angstrom
-2.481 1.338 -0.229
-2.098 -1.406 -2.935
-2.853 -2.017 1.669
ATOMIC_POSITIONS angstrom
B -3.179 -0.172 -1.486
Cr 0.000 0.000 0.000
B -3.475 -0.412 0.317
B -3.958 -1.674 -1.813
B -4.254 -1.913 -0.010

Version x
! CrB4 | the Alexandria database | PBEsol | relaxed; values from VASP
! Crystal system: orthorhombic
! ρ, kg/m3: 4391
! Space group: Pnnm (58)
! Size of the total moment, μB per formula unit: 0.000
&SYSTEM
  ibrav = 0, nat = 10, ntyp = 2
/
ATOMIC_SPECIES
B 10.81 B.upf
Cr 52.00 Cr.upf
CELL_PARAMETERS angstrom
-1.586 0.158 -2.334
2.805 -3.090 -2.115
-3.109 -4.079 1.837
ATOMIC_POSITIONS angstrom
B -0.361 -2.002 0.110
B 1.201 -4.088 -1.092
B 0.682 -2.899 -2.371
B -1.632 -5.514 -0.974
Cr -0.945 -3.506 -1.306
B -0.258 -1.498 -1.637
B -1.505 -3.081 0.815
B 0.057 -5.167 -0.387
B -2.572 -4.112 -0.241
Cr 0.000 0.000 0.000

The most stable of them is version x.

Version w
! Li3CrB2O6 | the Alexandria database | PBEsol | relaxed; values from VASP
! Crystal system: triclinic
! ρ, kg/m3: 3014
! Space group: P-1 (2)
! Size of the total moment, μB per formula unit: 3.000
&SYSTEM
  ibrav = 0, nat = 24, ntyp = 4
/
ATOMIC_SPECIES
B 10.81 B.upf
O 16.00 O.upf
Li 6.94 Li.upf
Cr 52.00 Cr.upf
CELL_PARAMETERS angstrom
5.199 -0.011 0.000
0.224 5.621 -0.059
0.189 1.238 7.168
ATOMIC_POSITIONS angstrom
B 4.602 5.069 3.074
O 4.025 2.896 1.768
Li 2.286 4.916 3.850
O 1.587 3.951 5.341
O 0.684 4.826 2.564
O 1.926 1.091 4.775
O 2.291 4.081 0.519
Li 1.390 5.804 6.159
Cr 0.699 3.269 1.404
Li 4.222 1.044 0.950
O 3.686 5.757 2.334
B 2.034 3.156 6.378
O 4.929 2.022 4.546
O 3.321 2.767 6.590
Li 3.902 6.475 5.466
Cr 4.913 3.578 5.705
B 1.010 1.779 4.035
O 4.834 5.266 7.003
O 0.779 1.581 0.106
Li 3.326 1.932 3.260
O 1.395 2.129 2.746
B 3.578 3.691 0.731
Li 1.710 0.373 1.644
O 4.217 4.718 4.363

Version x
! Li3CrB2O6 | the Alexandria database | PBEsol | relaxed; values from VASP
! Crystal system: monoclinic
! ρ, kg/m3: 2885
! Space group: P2_1/c (14)
! Size of the total moment, μB per formula unit: 3.000
&SYSTEM
  ibrav = 0, nat = 48, ntyp = 4
/
ATOMIC_SPECIES
O 16.00 O.upf
B 10.81 B.upf
Li 6.94 Li.upf
Cr 52.00 Cr.upf
CELL_PARAMETERS angstrom
-2.387 -3.539 3.927
7.127 1.030 5.259
-7.053 6.162 1.267
ATOMIC_POSITIONS angstrom
O 1.129 -1.008 6.298
O 3.766 -0.733 6.631
B 4.534 -1.141 7.708
O -1.660 3.932 8.824
Li -0.830 1.035 6.654
O -0.553 1.174 8.568
Li -3.793 -0.042 4.144
Li 3.505 2.363 4.345
O -6.078 4.386 3.822
Li -5.817 1.290 6.108
B -3.279 2.201 5.854
O 1.791 0.739 8.314
O -3.441 4.662 4.155
Li -1.483 2.619 3.799
O -1.101 -0.436 5.553
O 0.032 1.502 3.610
O -4.522 2.802 6.012
O -1.212 4.089 4.901
B -2.247 4.997 4.717
Li -1.167 3.745 6.864
O -2.344 2.152 6.844
Cr -2.341 2.088 8.843
O -1.858 6.292 5.078
B -0.065 -1.344 5.736
O -0.454 -2.639 5.375
Li -7.285 3.090 4.720
O -2.594 -1.478 3.638
O 0.281 5.131 6.815
O -3.087 1.768 4.537
B -3.072 2.080 1.705
Cr 2.277 0.626 6.413
B 0.966 1.452 4.599
O -0.652 -0.278 1.630
O 0.775 1.885 5.916
Li -1.145 -0.092 3.590
Li 4.973 0.563 5.733
Li 1.481 3.696 6.309
O -1.759 2.480 1.885
Li 2.155 -0.298 2.983
Li -4.467 3.951 7.470
B -6.846 4.794 2.745
O 2.209 0.852 4.441
B 0.760 1.574 8.749
O 3.740 1.950 6.293
Cr -4.589 3.028 4.040
O -4.103 2.914 2.139
Cr 0.029 1.565 1.610
O -6.053 1.704 4.160

The most stable of them is version x.

Version w
! CrBTe2N | the Alexandria database | PBEsol | relaxed; values from VASP
! Crystal system: tetragonal
! ρ, kg/m3: 6142
! Space group: P4/mmm (123)
! Size of the total moment, μB per formula unit: 0.499
&SYSTEM
  ibrav = 0, nat = 5, ntyp = 4
/
ATOMIC_SPECIES
N 14.01 N.upf
Te 127.60 Te.upf
B 10.81 B.upf
Cr 52.00 Cr.upf
CELL_PARAMETERS angstrom
-1.919 0.069 -2.873
3.605 -2.622 -2.471
-2.229 -4.369 1.384
ATOMIC_POSITIONS angstrom
N -0.959 0.035 -1.437
Te -1.115 -2.185 0.692
B -0.272 -3.461 -1.980
Cr 0.000 0.000 0.000
Te 1.802 -1.311 -1.235

Version x
! CrBTe2N | the Alexandria database | PBEsol | relaxed; values from VASP
! Crystal system: tetragonal
! ρ, kg/m3: 6252
! Space group: P4/mmm (123)
! Size of the total moment, μB per formula unit: 3.935
&SYSTEM
  ibrav = 0, nat = 5, ntyp = 4
/
ATOMIC_SPECIES
N 14.01 N.upf
B 10.81 B.upf
Te 127.60 Te.upf
Cr 52.00 Cr.upf
CELL_PARAMETERS angstrom
2.818 0.000 0.000
0.000 5.594 0.000
0.000 0.000 5.594
ATOMIC_POSITIONS angstrom
N 1.409 0.000 0.000
B 0.000 0.000 0.000
Te 0.000 0.000 2.797
Cr 1.409 2.797 2.797
Te 0.000 2.797 0.000

The most stable of them is version x.

Version w
! Na3CrB | the Alexandria database | PBEsol | relaxed; values from VASP
! Crystal system: cubic
! ρ, kg/m3: 1307
! Space group: Pm-3m (221)
! Size of the total moment, μB per formula unit: 4.963
&SYSTEM
  ibrav = 0, nat = 5, ntyp = 3
/
ATOMIC_SPECIES
Cr 52.00 Cr.upf
Na 22.99 Na.upf
B 10.81 B.upf
CELL_PARAMETERS angstrom
5.512 0.000 0.000
0.000 5.512 0.000
0.000 0.000 5.512
ATOMIC_POSITIONS angstrom
Cr 0.000 0.000 0.000
Na 2.756 0.000 0.000
Na 0.000 0.000 2.756
Na 0.000 2.756 0.000
B 2.756 2.756 2.756

Version x
! Na3CrB | the Alexandria database | PBEsol | relaxed; values from VASP
! Crystal system: cubic
! ρ, kg/m3: 1705
! Space group: Pm-3m (221)
! Size of the total moment, μB per formula unit: 3.990
&SYSTEM
  ibrav = 0, nat = 5, ntyp = 3
/
ATOMIC_SPECIES
Na 22.99 Na.upf
Cr 52.00 Cr.upf
B 10.81 B.upf
CELL_PARAMETERS angstrom
5.044 0.000 0.000
0.000 5.044 0.000
0.000 0.000 5.044
ATOMIC_POSITIONS angstrom
Na 0.000 0.000 2.522
Cr 2.522 2.522 2.522
B 0.000 0.000 0.000
Na 0.000 2.522 0.000
Na 2.522 0.000 0.000

The most stable of them is version x.

Version w
! LiCuBO3 | the Alexandria database | PBEsol | relaxed; values from VASP
! Crystal system: triclinic
! ρ, kg/m3: 3929
! Space group: P-1 (2)
! Size of the total moment, μB per formula unit: 0.981
&SYSTEM
  ibrav = 0, nat = 12, ntyp = 4
/
ATOMIC_SPECIES
O 16.00 O.upf
B 10.81 B.upf
Cu 63.55 Cu.upf
Li 6.94 Li.upf
CELL_PARAMETERS angstrom
-2.961 -1.810 -3.910
4.126 -2.727 1.650
-2.147 -0.269 4.951
ATOMIC_POSITIONS angstrom
O -3.150 -1.744 1.878
O -0.529 -3.755 1.814
B -3.726 -1.930 0.613
O 2.168 -3.062 0.813
Cu 1.170 -2.600 4.349
Li -1.307 -2.131 2.344
O -0.301 -1.154 3.713
Cu -2.153 -2.206 -1.658
O -0.681 -3.652 -1.022
Li 0.325 -2.675 0.347
B 2.744 -2.876 2.078
O -0.454 -1.052 0.877

Version x
! LiCuBO3 | the Alexandria database | PBEsol | relaxed; values from VASP
! Crystal system: orthorhombic
! ρ, kg/m3: 3920
! Space group: Pbca (61)
! Size of the total moment, μB per formula unit: 0.000
&SYSTEM
  ibrav = 0, nat = 48, ntyp = 4
/
ATOMIC_SPECIES
O 16.00 O.upf
B 10.81 B.upf
Li 6.94 Li.upf
Cu 63.55 Cu.upf
CELL_PARAMETERS angstrom
-4.748 -0.254 -1.857
1.894 -0.318 -4.800
0.397 -16.555 1.254
ATOMIC_POSITIONS angstrom
O -0.951 -1.317 -2.218
B 1.326 -2.299 -3.237
O -0.442 -6.933 -2.588
O -1.119 -9.533 -0.664
O 1.552 -11.934 -2.854
O 0.724 -9.644 -2.714
O -3.100 -1.768 -1.195
B -1.885 -2.262 -1.722
Li 0.101 -12.849 -1.989
Li -0.174 -4.561 -2.455
Cu -1.819 -7.335 -1.291
O -0.604 -6.732 0.119
B -0.949 -6.558 -3.852
O -3.348 -15.699 -1.135
O -0.787 -13.531 -3.671
B -3.782 -14.828 -2.166
O -2.938 -1.969 -3.902
Cu -1.394 -15.650 -1.238
Cu -3.912 -9.758 -2.623
Li -1.599 -4.437 -5.809
Li -0.858 -12.690 0.406
O -1.416 -11.883 -1.245
O 1.298 -3.647 -3.341
Li -3.241 -12.408 -0.553
O 0.643 -15.359 -4.208
O -2.015 -10.194 -2.815
Cu -0.637 -9.793 -4.112
B -1.507 -10.569 -1.551
B -4.160 -6.520 -2.338
O -1.505 -15.810 -3.185
O -1.338 -7.594 -4.739
Li -2.282 -12.566 -2.948
B -0.571 -14.866 -3.681
Cu 1.456 -7.369 -2.780
B 1.704 -10.607 -3.065
Li 0.785 -4.719 -4.850
O -4.008 -5.194 -2.549
O -1.853 -10.396 -5.522
O -1.670 -3.596 -1.732
Cu -1.062 -1.477 -4.165
O -1.040 -5.244 -4.158
O 0.481 -15.158 -1.501
O -3.180 -7.483 -2.689
O -3.755 -13.480 -2.062
Li -2.558 -4.279 -3.414
Cu -4.337 -1.443 -2.675
Cu 1.881 -15.684 -2.728
O 0.892 -1.428 -4.268

The most stable of them is version w.